# 1
RbAl2Tl2 | PBE-GGA | optimized geometry

abc: 5.0135 5.0135 6.8582
angles: 68.56 68.56 90.00
Fractional positions:
1 Al 0.6130 0.6130 0.7739
2 Tl 0.7500 0.2500 0.5000
3 Al 0.3870 0.3870 0.2261
4 Rb 0.0000 0.0000 0.0000
5 Tl 0.2500 0.7500 0.5000

For the density of states at the Fermi level, the calculation gives 0.446 states/eV/atom. The calculation puts the formation energy at 2.27 kcal/mol of atoms. As for the raw total energy: -2.539 eV per atom. The value obtained for the magnetization is 0.00 μB/f.u. For the density, the calculation gives 6.169 Mg/m³.

---

# 2
Rb2Al2Tl | PBE-GGA | optimized geometry

abc: 7.4439 7.4439 6.2440
angles: 90.00 90.00 90.00
Fractional positions:
1 Rb 0.1836 0.6836 0.5000
2 Tl 0.5000 0.5000 0.0000
3 Tl 0.0000 0.0000 0.0000
4 Al 0.6254 0.1254 0.0000
5 Rb 0.6836 0.8164 0.5000
6 Al 0.3746 0.8746 0.0000
7 Al 0.1254 0.3746 0.0000
8 Rb 0.8164 0.3164 0.5000
9 Rb 0.3164 0.1836 0.5000
10 Al 0.8746 0.6254 0.0000

For the density of states at the Fermi level, the calculation gives 0.713 states/eV/atom. The calculation puts the formation energy at 5.66 kcal/mol of atoms. As for the raw total energy: -2.112 eV per atom. The value obtained for the magnetization is 0.00 μB/f.u. For the density, the calculation gives 4.121 Mg/m³.

---

# 3
RbAl2Tl | PBE-GGA | optimized geometry

abc: 5.4200 5.4200 5.4200
angles: 60.00 60.00 60.00
Fractional positions:
1 Al 0.2500 0.2500 0.2500
2 Tl 0.5000 0.5000 0.5000
3 Rb 0.0000 0.0000 0.0000
4 Al 0.7500 0.7500 0.7500

For the density of states at the Fermi level, the calculation gives 0.157 states/eV/atom. The calculation puts the formation energy at 10.86 kcal/mol of atoms. As for the raw total energy: -2.234 eV per atom. The value obtained for the magnetization is 0.00 μB/f.u. For the density, the calculation gives 5.071 Mg/m³.

---

# 4
Rb2AlTl | PBE-GGA | optimized geometry

abc: 6.2072 6.2072 6.2072
angles: 60.00 60.00 60.00
Fractional positions:
1 Rb 0.7500 0.7500 0.7500
2 Al 0.0000 0.0000 0.0000
3 Rb 0.2500 0.2500 0.2500
4 Tl 0.5000 0.5000 0.5000

For the density of states at the Fermi level, the calculation gives 1.034 states/eV/atom. The calculation puts the formation energy at 8.31 kcal/mol of atoms. As for the raw total energy: -1.651 eV per atom. The value obtained for the magnetization is 0.00 μB/f.u. For the density, the calculation gives 3.950 Mg/m³.

---

# 5
Rb2AlTl | PBE-GGA | optimized geometry

abc: 10.2777 10.2777 8.0037
angles: 50.05 50.05 90.00
Fractional positions:
1 Al 0.5000 0.5000 0.0000
2 Rb 0.6099 0.1250 0.2500
3 Rb 0.1401 0.6250 0.2500
4 Tl 0.7500 0.2500 0.5000
5 Rb 0.3750 0.3901 0.7500
6 Al 0.2500 0.7500 0.5000
7 Rb 0.8750 0.8599 0.7500
8 Tl 0.0000 0.0000 0.0000

For the density of states at the Fermi level, the calculation gives 0.898 states/eV/atom. The calculation puts the formation energy at 9.51 kcal/mol of atoms. As for the raw total energy: -1.599 eV per atom. The value obtained for the magnetization is 0.00 μB/f.u. For the density, the calculation gives 3.772 Mg/m³.

---

# 6
Rb3AlTl | PBE-GGA | optimized geometry

abc: 6.9737 6.9737 6.9737
angles: 90.00 90.00 90.00
Last column: magnetic moment on the atom in μB.
Fractional positions:
1 Rb 0.5000 0.0000 0.0000  0.01
2 Rb 0.0000 0.0000 0.5000  0.01
3 Tl 0.5000 0.5000 0.5000  -0.12
4 Al 0.0000 0.0000 0.0000  0.12
5 Rb 0.0000 0.5000 0.0000  0.01

For the density of states at the Fermi level, the calculation gives 0.971 states/eV/atom. The calculation puts the formation energy at 10.45 kcal/mol of atoms. As for the raw total energy: -1.349 eV per atom. The value obtained for the magnetization is 0.28 μB/f.u. For the density, the calculation gives 2.388 Mg/m³.